1.
CuPAu2: optimized geometry, PBE-GGA.

```
CuPAu2
1.0
5.377 -1.453 0.000
5.377 1.453 0.000
-1.748 0.000 5.630
Cu P Au
1 1 2
Direct
0.000 0.000 0.000
0.596 0.596 0.798
0.287 0.287 0.979
0.500 0.500 0.383
```

2.
CuP2Au: optimized geometry, PBE-GGA.

```
CuP2Au
1.0
5.028 -1.648 0.000
5.028 1.648 0.000
-2.553 0.000 4.732
Cu P Au
1 2 1
Direct
0.000 0.000 0.000
0.246 0.246 0.134
0.754 0.754 0.866
0.500 0.500 0.500
```

Summary:
Energy above the lowest structure with this stoichiometry, eV per atom: 0.0000

3.
CuPAu2: optimized geometry, PBE-GGA.

```
CuPAu2
1.0
2.778 -4.419 0.000
2.778 4.419 0.000
-1.012 0.000 2.659
Cu P Au
1 1 2
Direct
0.000 0.000 0.000
0.500 0.500 0.000
0.000 0.500 0.500
0.500 0.000 0.500
```

Number 1: total DFT energy (no corrections) -15.72 eV/cell, spin magnetization 0.00 μB per atom. Number 2: total DFT energy (no corrections) -18.26 eV/cell, spin magnetization 0.00 μB per atom. Number 3: total DFT energy (no corrections) -14.89 eV/cell, spin magnetization 0.00 μB per atom.